The following is a PBE calculation of crystalline Cs2YSbBr6 at its relaxed geometry, from Alexandria.

Output
* raw formation energy: -1.373 eV per atom
* total magnetic moment: 0.000 Bohr magnetons per cell

The structure in CIF format:
```
data_Cs2YSbBr6
_chemical_formula_sum 'Cs4 Y2 Sb2 Br12'
_space_group_name_H-M_alt 'I 4/m m m'
_space_group_IT_number 139
_space_group_name_Hall '-I 4 2'
_cell_length_a 8.009
_cell_length_b 8.009
_cell_length_c 13.675
_cell_angle_alpha 90.00
_cell_angle_beta 90.00
_cell_angle_gamma 90.00
loop_
_atom_site_label
_atom_site_fract_x
_atom_site_fract_y
_atom_site_fract_z
Cs1 0.000 0.500 0.250
Y1 0.000 0.000 0.000
Sb1 0.000 0.000 0.500
Br1 0.000 0.000 0.204
Br2 0.247 0.247 0.000
```

=====

The following is a PBE calculation of crystalline CsZn2SbBr8 at its relaxed geometry, from Alexandria.

Output
* raw formation energy: -0.929 eV per atom
* total magnetic moment: 0.000 Bohr magnetons per cell

The structure in CIF format:
```
data_CsZn2SbBr8
_chemical_formula_sum 'Cs3 Zn6 Sb3 Br24'
_space_group_name_H-M_alt 'R -3'
_space_group_IT_number 148
_space_group_name_Hall '-R 3'
_cell_length_a 6.8738
_cell_length_b 6.8738
_cell_length_c 32.6878
_cell_angle_alpha 90.00
_cell_angle_beta 90.00
_cell_angle_gamma 120.00
loop_
_atom_site_label
_atom_site_fract_x
_atom_site_fract_y
_atom_site_fract_z
Cs1 0.0000 0.0000 0.0000
Zn1 0.0000 0.0000 0.2426
Sb1 0.0000 0.0000 0.5000
Br1 0.0000 0.0000 0.3149
Br2 0.0047 0.3276 0.1153
```

=====

The following is a PBE calculation of crystalline Cs2ZnSbBr6 at its relaxed geometry, from Alexandria.

Output
* raw formation energy: -1.080 eV per atom
* total magnetic moment: 0.000 Bohr magnetons per cell

The structure in CIF format:
```
data_Cs2ZnSbBr6
_chemical_formula_sum 'Cs4 Zn2 Sb2 Br12'
_space_group_name_H-M_alt 'I 4/m m m'
_space_group_IT_number 139
_space_group_name_Hall '-I 4 2'
_cell_length_a 8.005
_cell_length_b 8.005
_cell_length_c 11.137
_cell_angle_alpha 90.00
_cell_angle_beta 90.00
_cell_angle_gamma 90.00
loop_
_atom_site_label
_atom_site_fract_x
_atom_site_fract_y
_atom_site_fract_z
Cs1 0.000 0.500 0.250
Zn1 0.000 0.000 0.000
Sb1 0.000 0.000 0.500
Br1 0.000 0.000 0.239
Br2 0.247 0.247 0.000
```

=====

The following is a PBE calculation of crystalline CsScBr3 at its relaxed geometry, from Alexandria.

Output
* relative energy among the computed polymorphs: 106 meV per atom
* raw formation energy: -1.570 eV per atom
* total magnetic moment: 4.000 Bohr magnetons per cell

The structure in CIF format:
```
data_CsScBr3
_chemical_formula_sum 'Cs4 Sc4 Br12'
_space_group_name_H-M_alt 'C 1 2/m 1'
_space_group_IT_number 12
_space_group_name_Hall '-C 2y'
_cell_length_a 17.359
_cell_length_b 4.582
_cell_length_c 9.321
_cell_angle_alpha 90.00
_cell_angle_beta 101.74
_cell_angle_gamma 90.00
loop_
_atom_site_label
_atom_site_fract_x
_atom_site_fract_y
_atom_site_fract_z
Cs1 0.096 0.000 0.378
Sc1 0.202 0.500 0.902
Br1 0.075 0.500 0.675
Br2 0.131 0.000 0.003
Br3 0.243 0.500 0.247
```

=====

The following is a PBE calculation of crystalline CsScBr3 at its relaxed geometry, from Alexandria.

Output
* relative energy among the computed polymorphs: 918 meV per atom
* raw formation energy: -0.758 eV per atom
* total magnetic moment: 1.577 Bohr magnetons per cell

The structure in CIF format:
```
data_CsScBr3
_chemical_formula_sum 'Cs4 Sc4 Br12'
_space_group_name_H-M_alt 'I -4 m 2'
_space_group_IT_number 119
_space_group_name_Hall 'I -4 -2'
_cell_length_a 6.004
_cell_length_b 6.004
_cell_length_c 24.758
_cell_angle_alpha 90.00
_cell_angle_beta 90.00
_cell_angle_gamma 90.00
loop_
_atom_site_label
_atom_site_fract_x
_atom_site_fract_y
_atom_site_fract_z
Cs1 0.000 0.000 0.000
Cs2 0.000 0.500 0.250
Sc1 0.000 0.500 0.683
Br1 0.000 0.000 0.313
Br2 0.000 0.247 0.128
```

=====

The following is a PBE calculation of crystalline Cs3Sc2Br9 at its relaxed geometry, from Alexandria.

Output
* relative energy among the computed polymorphs: 6 meV per atom
* raw formation energy: -1.807 eV per atom
* total magnetic moment: 0.000 Bohr magnetons per cell

The structure in CIF format:
```
data_Cs3Sc2Br9
_chemical_formula_sum 'Cs18 Sc12 Br54'
_space_group_name_H-M_alt 'R -3 c'
_space_group_IT_number 167
_space_group_name_Hall '-R 3 2"c'
_cell_length_a 13.5397
_cell_length_b 13.5397
_cell_length_c 19.9895
_cell_angle_alpha 90.00
_cell_angle_beta 90.00
_cell_angle_gamma 120.00
loop_
_atom_site_label
_atom_site_fract_x
_atom_site_fract_y
_atom_site_fract_z
Cs1 0.0000 0.3382 0.2500
Sc1 0.0000 0.0000 0.1571
Br1 0.0000 0.1536 0.7500
Br2 0.0029 0.1676 0.4057
```